1.
ErSi2PtRh2: optimized geometry, PBE.

Cell: 4.5042 4.5042 5.5041 Å, 90.00 90.00 90.00°
Space group P4/mmm (No. 123)
Unique sites:
Er: 0.0000 0.0000 0.0000
Si: 0.0000 0.5000 0.5000
Pt: 0.0000 0.0000 0.5000
Rh: 0.5000 0.5000 0.2474

* magnetization: 0.0 μB per cell
* formation energy from raw total energies: -2.201 eV/f.u.
* electronic total energy: -38.35 eV/cell

---

2.
Er2Si4Pt3Rh: optimized geometry, PBE.

Cell: 4.0990 4.0990 10.0874 Å, 90.00 90.00 90.00°
Space group P-4m2 (No. 115)
Unique sites:
Er: 0.0000 0.5000 0.2495
Si: 0.0000 0.0000 0.0000
Si: 0.0000 0.5000 0.6349
Si: 0.5000 0.5000 0.0000
Pt: 0.0000 0.5000 0.8714
Pt: 0.5000 0.5000 0.5000
Rh: 0.0000 0.0000 0.5000

* magnetization: 0.0 μB per cell
* formation energy from raw total energies: -10.946 eV/f.u.
* electronic total energy: -67.24 eV/cell

---

3.
ErSi2PtRh: optimized geometry, PBE.

Cell: 4.0405 4.0405 10.1180 Å, 90.00 90.00 90.00°
Space group I-4m2 (No. 119)
Unique sites:
Er: 0.0000 0.0000 0.0000
Si: 0.0000 0.0000 0.3854
Pt: 0.0000 0.5000 0.7500
Rh: 0.0000 0.5000 0.2500

* magnetization: 0.0 μB per cell
* formation energy from raw total energies: -5.392 eV/f.u.
* electronic total energy: -68.39 eV/cell

---

4.
SmErPtRh: optimized geometry, PBE.

Cell: 6.9670 6.9670 6.9670 Å, 90.00 90.00 90.00°
Space group F-43m (No. 216)
Unique sites:
Sm: 0.0000 0.0000 0.0000
Er: 0.0000 0.0000 0.5000
Pt: 0.2500 0.2500 0.2500
Rh: 0.2500 0.2500 0.7500

* magnetization: 0.0 μB per cell
* electronic total energy: -106.62 eV/cell